Entry 1:
BaCu2S2: optimized geometry, GGA-PBEsol.

```
BaCu2S2
1.0
-1.9252 1.9252 6.2065
1.9252 -1.9252 6.2065
1.9252 1.9252 -6.2065
Ba Cu S
1 2 2
direct
0.0000 0.0000 0.0000 Ba
0.2500 0.7500 0.5000 Cu
0.7500 0.2500 0.5000 Cu
0.3604 0.3604 0.0000 S
0.6396 0.6396 0.0000 S
```

Output
For the uncorrected energy, the calculation gives -4.888 eV per atom. The formation energy (no corrections) is -0.971 eV per atom. As for the magnetic moment: 0.00 μB per formula unit. As for the symmetry: I4/mmm, No. 139. The calculation puts the density of states at the Fermi level at 0.033 states/eV/atom.


Entry 2:
BaCu2S2: optimized geometry, GGA-PBEsol.

```
BaCu2S2
1.0
9.1025 0.0000 0.0000
0.0000 3.9792 0.0000
0.0000 0.0000 10.2352
Ba Cu S
4 8 8
direct
0.2416 0.2500 0.1748 Ba
0.2584 0.7500 0.6748 Ba
0.7416 0.2500 0.3252 Ba
0.7584 0.7500 0.8252 Ba
0.0537 0.2500 0.8852 Cu
0.0833 0.2500 0.4548 Cu
0.4167 0.7500 0.9548 Cu
0.4463 0.7500 0.3852 Cu
0.5537 0.2500 0.6148 Cu
0.5833 0.2500 0.0452 Cu
0.9167 0.7500 0.5452 Cu
0.9463 0.7500 0.1148 Cu
0.0220 0.7500 0.3340 S
0.1551 0.7500 0.9583 S
0.3449 0.2500 0.4583 S
0.4780 0.2500 0.8340 S
0.5220 0.7500 0.1660 S
0.6551 0.7500 0.5417 S
0.8449 0.2500 0.0417 S
0.9780 0.2500 0.6660 S
```

Output
For the uncorrected energy, the calculation gives -4.898 eV per atom. The formation energy (no corrections) is -0.981 eV per atom. As for the magnetic moment: 0.00 μB per formula unit. As for the symmetry: Pnma, No. 62.


Entry 3:
BaCu2SnS4: optimized geometry, GGA-PBEsol.

```
BaCu2SnS4
1.0
6.3283 0.0000 0.0000
-3.1641 5.4804 0.0000
0.0000 0.0000 15.5632
Ba Cu Sn S
3 6 3 12
direct
0.0000 0.5715 0.1667 Ba
0.4285 0.4285 0.5000 Ba
0.5715 0.0000 0.8333 Ba
0.0621 0.6272 0.4120 Cu
0.3728 0.4349 0.7453 Cu
0.4349 0.3728 0.2547 Cu
0.5651 0.9379 0.0786 Cu
0.6272 0.0621 0.5880 Cu
0.9379 0.5651 0.9214 Cu
0.0000 0.7028 0.6667 Sn
0.2972 0.2972 0.0000 Sn
0.7028 0.0000 0.3333 Sn
0.0609 0.4964 0.7877 S
0.1154 0.3493 0.3311 S
0.2338 0.8846 0.9977 S
0.3493 0.1154 0.6689 S
0.4355 0.9391 0.4543 S
0.4964 0.0609 0.2123 S
0.5036 0.5645 0.1210 S
0.5645 0.5036 0.8790 S
0.6507 0.7662 0.6644 S
0.7662 0.6507 0.3356 S
0.8846 0.2338 0.0023 S
0.9391 0.4355 0.5457 S
```

Output
For the uncorrected energy, the calculation gives -4.904 eV per atom. The formation energy (no corrections) is -0.828 eV per atom. As for the magnetic moment: 0.00 μB per formula unit. As for the symmetry: P3_121, No. 152.


Entry 4:
BaCu3Sb: optimized geometry, GGA-PBEsol.

```
BaCu3Sb
1.0
5.1432 0.0000 0.0000
0.0000 5.1432 0.0000
0.0000 0.0000 5.1432
Ba Cu Sb
1 3 1
direct
0.0000 0.0000 0.0000 Ba
0.0000 0.0000 0.5000 Cu
0.0000 0.5000 0.0000 Cu
0.5000 0.0000 0.0000 Cu
0.5000 0.5000 0.5000 Sb
```

Output
For the uncorrected energy, the calculation gives -2.450 eV per atom. The formation energy (no corrections) is 1.492 eV per atom. As for the magnetic moment: 0.00 μB per formula unit. As for the symmetry: Pm-3m, No. 221. The calculation puts the density of states at the Fermi level at 0.523 states/eV/atom.


Entry 5:
Ba2CuSb: optimized geometry, GGA-PBEsol.

```
Ba2CuSb
1.0
4.6281 0.0000 0.0000
0.0000 2.3890 6.2072
0.0000 -2.3890 6.2072
Ba Cu Sb
2 1 1
direct
0.0000 0.0000 0.0000 Ba
0.5000 0.2804 0.2804 Ba
0.5000 0.5830 0.5830 Cu
0.0000 0.7049 0.7049 Sb
```

Output
For the uncorrected energy, the calculation gives -3.813 eV per atom. The formation energy (no corrections) is -0.516 eV per atom. As for the magnetic moment: 0.00 μB per formula unit. As for the symmetry: Amm2, No. 38. The calculation puts the density of states at the Fermi level at 0.332 states/eV/atom.


Entry 6:
BaCuSb3: optimized geometry, GGA-PBEsol.

```
BaCuSb3
1.0
6.0628 0.0000 0.0000
0.0000 6.0628 0.0000
0.0000 0.0000 6.0628
Ba Cu Sb
1 1 3
direct
0.0000 0.0000 0.0000 Ba
0.5000 0.5000 0.5000 Cu
0.0000 0.0000 0.5000 Sb
0.0000 0.5000 0.0000 Sb
0.5000 0.0000 0.0000 Sb
```

Output
For the uncorrected energy, the calculation gives -2.546 eV per atom. The formation energy (no corrections) is 1.485 eV per atom. As for the magnetic moment: 0.00 μB per formula unit. As for the symmetry: Pm-3m, No. 221. The calculation puts the density of states at the Fermi level at 1.107 states/eV/atom.


Entry 7:
BaCu2Sb: optimized geometry, GGA-PBEsol.

```
BaCu2Sb
1.0
4.6370 0.0000 0.0000
0.0000 4.3998 0.0000
-1.3000 0.0000 4.8754
Ba Cu Sb
1 2 1
direct
0.0000 0.0000 0.0000 Ba
0.5527 0.0000 0.4631 Cu
0.7671 0.5000 0.4099 Cu
0.3243 0.5000 0.6085 Sb
```

Output
For the uncorrected energy, the calculation gives -4.060 eV per atom. The formation energy (no corrections) is -0.216 eV per atom. As for the magnetic moment: 0.00 μB per formula unit. As for the symmetry: Pm, No. 6. The calculation puts the density of states at the Fermi level at 0.375 states/eV/atom.


Entry 8:
BaCuSb: optimized geometry, GGA-PBEsol.

```
BaCuSb
1.0
-1.8483 1.8483 5.8726
1.8483 -1.8483 5.8726
1.8483 1.8483 -5.8726
Ba Cu Sb
1 1 1
direct
0.0000 0.0000 0.0000 Ba
0.2889 0.2889 0.0000 Cu
0.7155 0.7155 0.0000 Sb
```

Output
For the uncorrected energy, the calculation gives -3.854 eV per atom. The formation energy (no corrections) is -0.174 eV per atom. As for the magnetic moment: 0.00 μB per formula unit. As for the symmetry: I4mm, No. 107. The calculation puts the density of states at the Fermi level at 0.988 states/eV/atom.


Entry 9:
Ba2ScCu: optimized geometry, GGA-PBEsol.

```
Ba2ScCu
1.0
3.6189 0.0000 0.0000
0.0000 3.6189 0.0000
0.0000 0.0000 9.7948
Ba Sc Cu
2 1 1
direct
0.0000 0.0000 0.0000 Ba
0.5000 0.5000 0.3729 Ba
0.5000 0.5000 0.7064 Sc
0.0000 0.0000 0.6006 Cu
```

Output
For the uncorrected energy, the calculation gives -3.684 eV per atom. As for the magnetic moment: 0.00 μB per formula unit. As for the symmetry: P4mm, No. 99. The calculation puts the density of states at the Fermi level at 1.127 states/eV/atom.


Entry 10:
BaScCu3: optimized geometry, GGA-PBEsol.

```
BaScCu3
1.0
5.1443 0.0000 0.0000
0.0000 5.1443 0.0000
0.0000 0.0000 5.1443
Ba Sc Cu
1 1 3
direct
0.0000 0.0000 0.0000 Ba
0.5000 0.5000 0.5000 Sc
0.0000 0.0000 0.5000 Cu
0.0000 0.5000 0.0000 Cu
0.5000 0.0000 0.0000 Cu
```

Output
For the uncorrected energy, the calculation gives -2.965 eV per atom. As for the magnetic moment: 0.00 μB per formula unit. As for the symmetry: Pm-3m, No. 221. The calculation puts the density of states at the Fermi level at 0.803 states/eV/atom.


Entry 11:
BaYScCu2: optimized geometry, GGA-PBEsol.

```
BaYScCu2
1.0
5.0655 0.0000 0.0000
0.0000 5.0655 0.0000
0.0000 0.0000 5.2094
Ba Y Sc Cu
1 1 1 2
direct
0.0000 0.0000 0.0000 Ba
0.5000 0.5000 0.0000 Y
0.5000 0.5000 0.5000 Sc
0.0000 0.5000 0.5000 Cu
0.5000 0.0000 0.5000 Cu
```

Output
For the uncorrected energy, the calculation gives -4.240 eV per atom. As for the magnetic moment: 0.00 μB per formula unit. As for the symmetry: P4/mmm, No. 123. The calculation puts the density of states at the Fermi level at 0.894 states/eV/atom.


Entry 12:
Ba2CuSe: optimized geometry, GGA-PBEsol.

```
Ba2CuSe
1.0
5.0386 0.0000 0.0000
0.0000 2.1245 5.9280
0.0000 -2.1245 5.9280
Ba Cu Se
2 1 1
direct
0.0000 0.0000 0.0000 Ba
0.5000 0.2515 0.2515 Ba
0.0000 0.7290 0.7290 Cu
0.5000 0.5275 0.5275 Se
```

Output
For the uncorrected energy, the calculation gives -3.921 eV per atom. The formation energy (no corrections) is -0.801 eV per atom. As for the magnetic moment: 0.00 μB per formula unit. As for the symmetry: Amm2, No. 38. The calculation puts the density of states at the Fermi level at 0.657 states/eV/atom.